# 1
DFT (PBE) results for a relaxed CaNdTlCu crystal.

DFT total energy   -3.547 eV/atom
Energy of formation from the pure elements   -239 meV per atom
Total magnetization   0.00 Bohr magnetons per cell

```
data_CaNdTlCu
_symmetry_space_group_name_H-M 'P 1'
_symmetry_Int_Tables_number 1
_symmetry_space_group_name_Hall 'P 1'
_cell_length_a 5.306
_cell_length_b 5.306
_cell_length_c 5.306
_cell_angle_alpha 60.00
_cell_angle_beta 60.00
_cell_angle_gamma 60.00
loop_
_atom_site_label
_atom_site_fract_x
_atom_site_fract_y
_atom_site_fract_z
_atom_site_occupancy
Ca1 0.000 0.000 0.000 1
Nd1 0.500 0.500 0.500 1
Tl1 0.250 0.250 0.250 1
Cu1 0.750 0.750 0.750 1
```

***

# 2
DFT (PBE) results for a relaxed CaCuNi2 crystal.

DFT total energy   -4.281 eV/atom
Energy of formation from the pure elements   134 meV per atom
Total magnetization   0.00 Bohr magnetons per cell

```
data_CaCuNi2
_symmetry_space_group_name_H-M 'P 1'
_symmetry_Int_Tables_number 1
_symmetry_space_group_name_Hall 'P 1'
_cell_length_a 3.933
_cell_length_b 3.933
_cell_length_c 3.810
_cell_angle_alpha 90.00
_cell_angle_beta 90.00
_cell_angle_gamma 90.00
loop_
_atom_site_label
_atom_site_fract_x
_atom_site_fract_y
_atom_site_fract_z
_atom_site_occupancy
Ca1 0.000 0.000 0.000 1
Cu1 0.500 0.500 0.000 1
Ni1 0.000 0.500 0.500 1
Ni2 0.500 0.000 0.500 1
```

***

# 3
DFT (PBE) results for a relaxed Ca2CuNi crystal.

DFT total energy   -3.488 eV/atom
Energy of formation from the pure elements   -17 meV per atom
Total magnetization   0.00 Bohr magnetons per cell

```
data_Ca2CuNi
_symmetry_space_group_name_H-M 'P 1'
_symmetry_Int_Tables_number 1
_symmetry_space_group_name_Hall 'P 1'
_cell_length_a 6.331
_cell_length_b 6.331
_cell_length_c 6.331
_cell_angle_alpha 145.69
_cell_angle_beta 139.84
_cell_angle_gamma 53.82
loop_
_atom_site_label
_atom_site_fract_x
_atom_site_fract_y
_atom_site_fract_z
_atom_site_occupancy
Ca1 0.000 0.000 0.000 1
Ca2 0.731 0.231 0.500 1
Cu1 0.298 0.798 0.500 1
Ni1 0.429 0.429 0.000 1
```

***

# 4
DFT (PBE) results for a relaxed Ca3CuNi crystal.

DFT total energy   -3.024 eV/atom
Energy of formation from the pure elements   153 meV per atom
Total magnetization   0.00 Bohr magnetons per cell
E above lowest polymorph   0.252 eV/atom

```
data_Ca3CuNi
_symmetry_space_group_name_H-M 'P 1'
_symmetry_Int_Tables_number 1
_symmetry_space_group_name_Hall 'P 1'
_cell_length_a 5.302
_cell_length_b 5.302
_cell_length_c 5.302
_cell_angle_alpha 90.00
_cell_angle_beta 90.00
_cell_angle_gamma 90.00
loop_
_atom_site_label
_atom_site_fract_x
_atom_site_fract_y
_atom_site_fract_z
_atom_site_occupancy
Ca1 0.000 0.000 0.500 1
Ca2 0.000 0.500 0.000 1
Ca3 0.500 0.000 0.000 1
Cu1 0.500 0.500 0.500 1
Ni1 0.000 0.000 0.000 1
```

***

# 5
DFT (PBE) results for a relaxed Ca2Cu2Ni crystal.

DFT total energy   -3.583 eV/atom
Energy of formation from the pure elements   13 meV per atom
Total magnetization   0.00 Bohr magnetons per cell

```
data_Ca2Cu2Ni
_symmetry_space_group_name_H-M 'P 1'
_symmetry_Int_Tables_number 1
_symmetry_space_group_name_Hall 'P 1'
_cell_length_a 6.837
_cell_length_b 6.837
_cell_length_c 4.242
_cell_angle_alpha 90.00
_cell_angle_beta 90.00
_cell_angle_gamma 90.00
loop_
_atom_site_label
_atom_site_fract_x
_atom_site_fract_y
_atom_site_fract_z
_atom_site_occupancy
Ca1 0.181 0.319 0.000 1
Ca2 0.319 0.819 0.000 1
Ca3 0.681 0.181 0.000 1
Ca4 0.819 0.681 0.000 1
Cu1 0.128 0.628 0.500 1
Cu2 0.372 0.128 0.500 1
Cu3 0.628 0.872 0.500 1
Cu4 0.872 0.372 0.500 1
Ni1 0.000 0.000 0.500 1
Ni2 0.500 0.500 0.500 1
```

***

# 6
DFT (PBE) results for a relaxed Ca3Cu2Ni crystal.

DFT total energy   -3.468 eV/atom
Energy of formation from the pure elements   -138 meV per atom
Total magnetization   0.00 Bohr magnetons per cell

```
data_Ca3Cu2Ni
_symmetry_space_group_name_H-M 'P 1'
_symmetry_Int_Tables_number 1
_symmetry_space_group_name_Hall 'P 1'
_cell_length_a 11.690
_cell_length_b 4.142
_cell_length_c 11.714
_cell_angle_alpha 90.00
_cell_angle_beta 90.00
_cell_angle_gamma 90.00
loop_
_atom_site_label
_atom_site_fract_x
_atom_site_fract_y
_atom_site_fract_z
_atom_site_occupancy
Ca1 0.056 0.250 0.127 1
Ca2 0.115 0.750 0.555 1
Ca3 0.214 0.250 0.800 1
Ca4 0.286 0.750 0.300 1
Ca5 0.385 0.250 0.055 1
Ca6 0.444 0.750 0.627 1
Ca7 0.556 0.250 0.373 1
Ca8 0.615 0.750 0.945 1
Ca9 0.714 0.250 0.700 1
Ca10 0.786 0.750 0.200 1
Ca11 0.885 0.250 0.445 1
Ca12 0.944 0.750 0.873 1
Cu1 0.031 0.750 0.315 1
Cu2 0.203 0.750 0.990 1
Cu3 0.297 0.250 0.490 1
Cu4 0.469 0.250 0.815 1
Cu5 0.531 0.750 0.185 1
Cu6 0.703 0.750 0.510 1
Cu7 0.797 0.250 0.010 1
Cu8 0.969 0.250 0.685 1
Ni1 0.126 0.250 0.371 1
Ni2 0.374 0.750 0.871 1
Ni3 0.626 0.250 0.129 1
Ni4 0.874 0.750 0.629 1
```

***

# 7
DFT (PBE) results for a relaxed CaCu5Ni2 crystal.

DFT total energy   -4.194 eV/atom
Energy of formation from the pure elements   62 meV per atom
Total magnetization   0.00 Bohr magnetons per cell

```
data_CaCu5Ni2
_symmetry_space_group_name_H-M 'P 1'
_symmetry_Int_Tables_number 1
_symmetry_space_group_name_Hall 'P 1'
_cell_length_a 5.953
_cell_length_b 5.953
_cell_length_c 5.953
_cell_angle_alpha 143.27
_cell_angle_beta 108.12
_cell_angle_gamma 83.54
loop_
_atom_site_label
_atom_site_fract_x
_atom_site_fract_y
_atom_site_fract_z
_atom_site_occupancy
Ca1 0.000 0.000 0.000 1
Cu1 0.170 0.349 0.821 1
Cu2 0.472 0.651 0.821 1
Cu3 0.500 0.000 0.500 1
Cu4 0.528 0.349 0.179 1
Cu5 0.830 0.651 0.179 1
Ni1 0.238 0.738 0.500 1
Ni2 0.762 0.262 0.500 1
```

***

# 8
DFT (PBE) results for a relaxed Ca2Cu2Ni15 crystal.

DFT total energy   -5.270 eV/atom
Energy of formation from the pure elements   -64 meV per atom
Total magnetization   7.13 Bohr magnetons per cell

```
data_Ca2Cu2Ni15
_symmetry_space_group_name_H-M 'P 1'
_symmetry_Int_Tables_number 1
_symmetry_space_group_name_Hall 'P 1'
_cell_length_a 6.284
_cell_length_b 6.284
_cell_length_c 6.284
_cell_angle_alpha 83.43
_cell_angle_beta 83.43
_cell_angle_gamma 83.43
loop_
_atom_site_label
_atom_site_fract_x
_atom_site_fract_y
_atom_site_fract_z
_atom_site_occupancy
Ca1 0.156 0.156 0.156 1
Ca2 0.844 0.844 0.844 1
Cu1 0.400 0.400 0.400 1
Cu2 0.600 0.600 0.600 1
Ni1 0.000 0.500 0.500 1
Ni2 0.155 0.155 0.652 1
Ni3 0.155 0.652 0.155 1
Ni4 0.207 0.500 0.793 1
Ni5 0.207 0.793 0.500 1
Ni6 0.348 0.845 0.845 1
Ni7 0.500 0.000 0.500 1
Ni8 0.500 0.207 0.793 1
Ni9 0.500 0.500 0.000 1
Ni10 0.500 0.793 0.207 1
Ni11 0.652 0.155 0.155 1
Ni12 0.793 0.207 0.500 1
Ni13 0.793 0.500 0.207 1
Ni14 0.845 0.348 0.845 1
Ni15 0.845 0.845 0.348 1
```